1.
First-principles (SCAN) data for Mn3Se at its PBEsol-relaxed geometry, as listed in Alexandria via LeMat-Bulk.

The structure in CIF format:
```
data_Mn3Se
_chemical_formula_sum 'Mn3 Se1'
_space_group_name_H-M_alt 'P 1'
_space_group_IT_number 1
_space_group_name_Hall 'P 1'
_cell_length_a 4.6481
_cell_length_b 4.6481
_cell_length_c 4.6481
_cell_angle_alpha 139.82
_cell_angle_beta 130.45
_cell_angle_gamma 65.62
loop_
_atom_site_label
_atom_site_type_symbol
_atom_site_fract_x
_atom_site_fract_y
_atom_site_fract_z
_atom_site_occupancy
Mn1 Mn 0.0000 0.0000 0.0000 1
Mn2 Mn 0.2593 0.7593 0.5000 1
Mn3 Mn 0.7407 0.2407 0.5000 1
Se1 Se 0.5000 0.5000 0.0000 1
```

crystal system	orthorhombic
total DFT energy (no corrections)	-18.77	eV/atom
formation energy (no corrections)	-24	kJ/mol of formula units
energy above the most stable polymorph in this dataset	0	meV/atom

***

2.
First-principles (SCAN) data for Mg2AlTl at its PBEsol-relaxed geometry, as listed in Alexandria via LeMat-Bulk.

The structure in CIF format:
```
data_Mg2AlTl
_chemical_formula_sum 'Mg2 Al1 Tl1'
_space_group_name_H-M_alt 'P 1'
_space_group_IT_number 1
_space_group_name_Hall 'P 1'
_cell_length_a 3.1964
_cell_length_b 4.1789
_cell_length_c 6.3641
_cell_angle_alpha 90.00
_cell_angle_beta 90.00
_cell_angle_gamma 90.00
loop_
_atom_site_label
_atom_site_type_symbol
_atom_site_fract_x
_atom_site_fract_y
_atom_site_fract_z
_atom_site_occupancy
Mg1 Mg 0.0000 0.0000 0.2369 1
Mg2 Mg 0.0000 0.0000 0.7631 1
Al1 Al 0.5000 0.5000 0.0000 1
Tl1 Tl 0.5000 0.5000 0.5000 1
```

crystal system	orthorhombic
energy of formation	-0.027	eV/atom
total DFT energy (no corrections)	-22.54	eV/atom

***

3.
First-principles (SCAN) data for MnAl2W at its PBEsol-relaxed geometry, as listed in Alexandria via LeMat-Bulk.

The structure in CIF format:
```
data_MnAl2W
_chemical_formula_sum 'Mn1 Al2 W1'
_space_group_name_H-M_alt 'P 1'
_space_group_IT_number 1
_space_group_name_Hall 'P 1'
_cell_length_a 3.0036
_cell_length_b 3.0036
_cell_length_c 5.9979
_cell_angle_alpha 90.00
_cell_angle_beta 90.00
_cell_angle_gamma 90.00
loop_
_atom_site_label
_atom_site_type_symbol
_atom_site_fract_x
_atom_site_fract_y
_atom_site_fract_z
_atom_site_occupancy
Mn1 Mn 0.0000 0.0000 0.0000 1
Al1 Al 0.0000 0.0000 0.5045 1
Al2 Al 0.5000 0.5000 0.7801 1
W1 W 0.5000 0.5000 0.2380 1
```

crystal system	tetragonal
energy of formation	-0.185	eV/atom
total DFT energy (no corrections)	-26.05	eV/atom
energy above the most stable polymorph in this dataset	0	meV/atom